Model i:
Compound: CaZn3Ru
Source: the Alexandria database
Functional: GGA-PBE
Structure: optimized geometry

Summary:
The calculation puts the density of states at the Fermi level at 1.80 states/eV/cell. The theoretical density is 5.1 Mg/m³.

a = 4.796 Å, b = 4.796 Å, c = 4.796 Å
α = 90.00°, β = 90.00°, γ = 90.00°
Fractional coordinates of all 5 atoms:
Ca  0.000  0.000  0.000
Zn  0.000  0.500  0.500
Zn  0.500  0.000  0.500
Zn  0.500  0.500  0.000
Ru  0.500  0.500  0.500

---

Model ii:
Compound: CaZn3Ru
Source: the Alexandria database
Functional: GGA-PBE
Structure: optimized geometry

Summary:
The calculation puts the density of states at the Fermi level at 4.30 states/eV/cell. The theoretical density is 6.1 Mg/m³.

a = 6.793 Å, b = 6.793 Å, c = 5.219 Å
α = 90.00°, β = 90.00°, γ = 130.54°
Fractional coordinates of all 10 atoms:
Ca  0.098  0.902  0.750
Ca  0.902  0.098  0.250
Zn  0.118  0.413  0.750
Zn  0.312  0.688  0.250
Zn  0.413  0.118  0.250
Zn  0.587  0.882  0.750
Zn  0.688  0.312  0.750
Zn  0.882  0.587  0.250
Ru  0.500  0.500  0.000
Ru  0.500  0.500  0.500

---

model ii is the most stable structure; the next one sits 121 meV/atom above it.

---

Model i:
Compound: CaZn2Ru2
Source: the Alexandria database
Functional: GGA-PBE
Structure: optimized geometry

Summary:
The calculation puts the density of states at the Fermi level at 12.73 states/eV/cell. The theoretical density is 7.4 Mg/m³.

a = 7.577 Å, b = 7.577 Å, c = 2.904 Å
α = 90.00°, β = 90.00°, γ = 90.00°
Fractional coordinates of all 10 atoms:
Ca  0.000  0.000  0.000
Ca  0.500  0.500  0.000
Zn  0.174  0.326  0.500
Zn  0.326  0.826  0.500
Zn  0.674  0.174  0.500
Zn  0.826  0.674  0.500
Ru  0.117  0.617  0.000
Ru  0.383  0.117  0.000
Ru  0.617  0.883  0.000
Ru  0.883  0.383  0.000

---

Model ii:
Compound: CaZn2Ru2
Source: the Alexandria database
Functional: GGA-PBE
Structure: optimized geometry

Summary:
The calculation puts the density of states at the Fermi level at 5.36 states/eV/cell. The theoretical density is 6.6 Mg/m³.

a = 5.613 Å, b = 5.613 Å, c = 5.613 Å
α = 132.74°, β = 132.74°, γ = 69.06°
Fractional coordinates of all 5 atoms:
Ca  0.000  0.000  0.000
Zn  0.250  0.750  0.500
Zn  0.750  0.250  0.500
Ru  0.376  0.376  0.000
Ru  0.624  0.624  0.000

---

model i is the most stable structure; the next one sits 25 meV/atom above it.

---

Model i:
Compound: Ca4ZnRu
Source: the Alexandria database
Functional: GGA-PBE
Structure: optimized geometry

Summary:
The calculation puts the density of states at the Fermi level at 11.41 states/eV/cell. The theoretical density is 3.1 Mg/m³.

a = 8.271 Å, b = 8.271 Å, c = 6.429 Å
α = 106.41°, β = 106.41°, γ = 111.51°
Fractional coordinates of all 12 atoms:
Ca  0.055  0.718  0.918
Ca  0.221  0.349  0.702
Ca  0.282  0.945  0.582
Ca  0.349  0.221  0.202
Ca  0.651  0.779  0.798
Ca  0.718  0.055  0.418
Ca  0.779  0.651  0.298
Ca  0.945  0.282  0.082
Zn  0.366  0.634  0.250
Zn  0.634  0.366  0.750
Ru  0.001  0.999  0.750
Ru  0.999  0.001  0.250

---

Model ii:
Compound: Ca4ZnRu
Source: the Alexandria database
Functional: GGA-PBE
Structure: optimized geometry

Summary:
The calculation puts the density of states at the Fermi level at 7.57 states/eV/cell. The theoretical density is 3.3 Mg/m³.

a = 6.158 Å, b = 6.158 Å, c = 6.158 Å
α = 60.00°, β = 60.00°, γ = 60.00°
Fractional coordinates of all 6 atoms:
Ca  0.124  0.124  0.124
Ca  0.124  0.124  0.628
Ca  0.124  0.628  0.124
Ca  0.628  0.124  0.124
Zn  0.500  0.500  0.500
Ru  0.750  0.750  0.750

---

model i is the most stable structure; the next one sits 903 meV/atom above it.

---

Model i:
Compound: CaZr2Ru
Source: the Alexandria database
Functional: GGA-PBE
Structure: optimized geometry

Summary:
The calculation puts the density of states at the Fermi level at 2.05 states/eV/cell. The theoretical density is 5.9 Mg/m³.

a = 3.336 Å, b = 3.336 Å, c = 8.190 Å
α = 90.00°, β = 90.00°, γ = 90.00°
Fractional coordinates of all 4 atoms:
Ca  0.000  0.000  0.000
Zr  0.000  0.000  0.410
Zr  0.500  0.500  0.658
Ru  0.500  0.500  0.241

---

Model ii:
Compound: CaZr2Ru
Source: the Alexandria database
Functional: GGA-PBE
Structure: optimized geometry

Summary:
The calculation puts the density of states at the Fermi level at 2.91 states/eV/cell. The theoretical density is 6.4 Mg/m³.

a = 4.830 Å, b = 4.830 Å, c = 3.598 Å
α = 90.00°, β = 90.00°, γ = 90.00°
Fractional coordinates of all 4 atoms:
Ca  0.000  0.000  0.000
Zr  0.000  0.500  0.500
Zr  0.500  0.000  0.500
Ru  0.500  0.500  0.000

---

Model iii:
Compound: CaZr2Ru
Source: the Alexandria database
Functional: GGA-PBE
Structure: optimized geometry

Summary:
The calculation puts the density of states at the Fermi level at 3.99 states/eV/cell. The theoretical density is 6.5 Mg/m³.

a = 4.892 Å, b = 4.892 Å, c = 4.892 Å
α = 60.00°, β = 60.00°, γ = 60.00°
Fractional coordinates of all 4 atoms:
Ca  0.000  0.000  0.000
Zr  0.250  0.250  0.250
Zr  0.750  0.750  0.750
Ru  0.500  0.500  0.500

---

Model iv:
Compound: CaZr2Ru
Source: the Alexandria database
Functional: GGA-PBE
Structure: optimized geometry

Summary:
The calculation puts the density of states at the Fermi level at 4.72 states/eV/cell. The theoretical density is 6.3 Mg/m³.

a = 4.939 Å, b = 4.939 Å, c = 4.939 Å
α = 60.00°, β = 60.00°, γ = 60.00°
Fractional coordinates of all 4 atoms:
Ca  0.000  0.000  0.000
Zr  0.500  0.500  0.500
Zr  0.750  0.750  0.750
Ru  0.250  0.250  0.250

---

model i is the most stable structure; the next one sits 231 meV/atom above it.

---

Model i:
Compound: CaZr2Ru
Source: the Alexandria database
Functional: GGA-PBE
Structure: optimized geometry

Summary:
The calculation puts the density of states at the Fermi level at 5.71 states/eV/cell. The theoretical density is 5.6 Mg/m³.

a = 3.191 Å, b = 3.191 Å, c = 9.405 Å
α = 90.00°, β = 90.00°, γ = 90.00°
Fractional coordinates of all 4 atoms:
Ca  0.000  0.000  0.000
Zr  0.500  0.500  0.322
Zr  0.500  0.500  0.678
Ru  0.000  0.000  0.500

---

Model ii:
Compound: CaZr2Ru
Source: the Alexandria database
Functional: GGA-PBE
Structure: optimized geometry

Summary:
The calculation puts the density of states at the Fermi level at 4.45 states/eV/cell. The theoretical density is 5.8 Mg/m³.

a = 3.265 Å, b = 4.187 Å, c = 6.984 Å
α = 90.00°, β = 103.22°, γ = 90.00°
Fractional coordinates of all 4 atoms:
Ca  0.000  0.000  0.000
Zr  0.398  0.500  0.689
Zr  0.602  0.500  0.311
Ru  0.000  0.000  0.500

---

Model iii:
Compound: CaZr2Ru
Source: the Alexandria database
Functional: GGA-PBE
Structure: optimized geometry

Summary:
The calculation puts the density of states at the Fermi level at 5.19 states/eV/cell. The theoretical density is 6.3 Mg/m³.

a = 3.606 Å, b = 4.846 Å, c = 4.855 Å
α = 90.00°, β = 90.00°, γ = 90.00°
Fractional coordinates of all 4 atoms:
Ca  0.000  0.000  0.000
Zr  0.000  0.500  0.500
Zr  0.500  0.500  0.000
Ru  0.500  0.000  0.500

---

Model iv:
Compound: CaZr2Ru
Source: the Alexandria database
Functional: GGA-PBE
Structure: optimized geometry

Summary:
The calculation puts the density of states at the Fermi level at 3.35 states/eV/cell. The theoretical density is 6.0 Mg/m³.

a = 6.055 Å, b = 6.055 Å, c = 6.055 Å
α = 147.12°, β = 131.65°, γ = 59.71°
Fractional coordinates of all 4 atoms:
Ca  0.000  0.000  0.000
Zr  0.415  0.415  0.000
Zr  0.713  0.213  0.500
Ru  0.230  0.730  0.500

---

model i is the most stable structure; the next one sits 44 meV/atom above it.

---

Model i:
Compound: CaZr2Ru
Source: the Alexandria database
Functional: GGA-PBE
Structure: optimized geometry

Summary:
The calculation puts the density of states at the Fermi level at 2.75 states/eV/cell. The theoretical density is 5.5 Mg/m³.

a = 3.334 Å, b = 4.262 Å, c = 7.045 Å
α = 90.00°, β = 101.89°, γ = 90.00°
Fractional coordinates of all 4 atoms:
Ca  0.000  0.000  0.000
Zr  0.366  0.500  0.681
Zr  0.768  0.000  0.451
Ru  0.234  0.500  0.326

---

Model ii:
Compound: CaZr2Ru
Source: the Alexandria database
Functional: GGA-PBE
Structure: optimized geometry

Summary:
The calculation puts the density of states at the Fermi level at 11.30 states/eV/cell. The theoretical density is 5.6 Mg/m³.

a = 6.405 Å, b = 6.405 Å, c = 6.405 Å
α = 103.14°, β = 103.14°, γ = 123.04°
Fractional coordinates of all 8 atoms:
Ca  0.000  0.000  0.000
Ca  0.750  0.250  0.500
Zr  0.191  0.125  0.566
Zr  0.375  0.809  0.934
Zr  0.559  0.625  0.434
Zr  0.875  0.441  0.066
Ru  0.250  0.750  0.500
Ru  0.500  0.500  0.000

---

Model iii:
Compound: CaZr2Ru
Source: the Alexandria database
Functional: GGA-PBE
Structure: optimized geometry

Summary:
The calculation puts the density of states at the Fermi level at 5.14 states/eV/cell. The theoretical density is 6.3 Mg/m³.

a = 5.724 Å, b = 5.724 Å, c = 5.724 Å
α = 137.47°, β = 137.47°, γ = 61.71°
Fractional coordinates of all 4 atoms:
Ca  0.000  0.000  0.000
Zr  0.500  0.500  0.000
Zr  0.750  0.250  0.500
Ru  0.250  0.750  0.500

---

Model iv:
Compound: CaZr2Ru
Source: the Alexandria database
Functional: GGA-PBE
Structure: optimized geometry

Summary:
The calculation puts the density of states at the Fermi level at 5.59 states/eV/cell. The theoretical density is 6.3 Mg/m³.

a = 3.111 Å, b = 5.510 Å, c = 5.804 Å
α = 116.07°, β = 102.11°, γ = 97.18°
Fractional coordinates of all 4 atoms:
Ca  0.000  0.000  0.000
Zr  0.000  0.500  0.500
Zr  0.500  0.000  0.500
Ru  0.500  0.500  0.000

---

model i is the most stable structure; the next one sits 133 meV/atom above it.